[1]
The following is a PBE calculation of V5Ga4Fe after structural relaxation, from the Alexandria database.

Output
V in Å³/f.u.: 150.3
ΔE_f in eV per atom: 0.101

Cell: 6.334 6.334 6.334 Å, 96.35 96.35 141.16°
Fractional positions:
V (0.000, 0.000, 0.000)
V (0.147, 0.147, 0.623)
V (0.147, 0.525, 0.000)
V (0.525, 0.147, 0.000)
V (0.525, 0.525, 0.377)
Ga (0.135, 0.833, 0.303)
Ga (0.530, 0.833, 0.697)
Ga (0.833, 0.135, 0.303)
Ga (0.833, 0.530, 0.697)
Fe (0.518, 0.518, 0.000)

=====

[2]
The following is a PBE calculation of KHIrAuCl after structural relaxation, from the Alexandria database.

Output
V in Å³/f.u.: 95.9
DFT total energy in eV per atom: -3.856

Cell: 3.112 4.563 6.911 Å, 90.00 102.39 90.00°
Fractional positions:
K (0.000, 0.000, 0.000)
H (0.353, 0.500, 0.676)
Ir (0.790, 0.500, 0.542)
Au (0.292, 0.000, 0.551)
Cl (0.587, 0.500, 0.182)

=====

[3]
The following is a PBE calculation of Tb2Y12Er5 after structural relaxation, from the Alexandria database.

Output
V in Å³/f.u.: 613.7
ΔE_f in eV per atom: 0.130

Cell: 7.266 9.240 10.234 Å, 95.48 109.57 104.71°
Fractional positions:
Tb (0.149, 0.200, 0.458)
Tb (0.851, 0.800, 0.542)
Y (0.062, 0.155, 0.760)
Y (0.073, 0.496, 0.681)
Y (0.247, 0.103, 0.128)
Y (0.282, 0.862, 0.860)
Y (0.429, 0.474, 0.330)
Y (0.444, 0.807, 0.223)
Y (0.556, 0.193, 0.777)
Y (0.571, 0.526, 0.670)
Y (0.718, 0.138, 0.140)
Y (0.753, 0.897, 0.872)
Y (0.927, 0.504, 0.319)
Y (0.938, 0.845, 0.240)
Er (0.028, 0.352, 0.017)
Er (0.354, 0.818, 0.538)
Er (0.500, 0.500, 0.000)
Er (0.646, 0.182, 0.462)
Er (0.972, 0.648, 0.983)

=====

[4]
The following is a PBE calculation of YTlBiF2 after structural relaxation, from the Alexandria database.

Output
V in Å³/f.u.: 130.0
E_form (uncorrected) in eV/atom: -2.1484

Cell: 4.474 4.474 6.493 Å, 90.00 90.00 90.00°
Fractional positions:
Y (0.000, 0.000, 0.000)
Tl (0.500, 0.500, 0.500)
Bi (0.000, 0.000, 0.500)
F (0.000, 0.500, 0.000)
F (0.500, 0.000, 0.000)

=====

[5]
The following is a PBE calculation of Pm2Pr2Tl7 after structural relaxation, from the Alexandria database.

Output
V in Å³/f.u.: 375.4
ΔE_f in eV per atom: 0.018

Cell: 7.127 7.127 7.575 Å, 90.00 90.00 102.68°
Fractional positions:
Pm (0.202, 0.798, 0.000)
Pm (0.798, 0.202, 0.000)
Pr (0.315, 0.315, 0.500)
Pr (0.685, 0.685, 0.500)
Tl (0.000, 0.000, 0.295)
Tl (0.000, 0.000, 0.705)
Tl (0.000, 0.500, 0.292)
Tl (0.000, 0.500, 0.708)
Tl (0.500, 0.000, 0.292)
Tl (0.500, 0.000, 0.708)
Tl (0.500, 0.500, 0.000)

=====

[6]
The following is a PBE calculation of Mg4In7Sn after structural relaxation, from the Alexandria database.

Output
V in Å³/f.u.: 298.3
ΔE_f in eV per atom: -0.043

Cell: 4.528 5.641 12.955 Å, 82.79 80.40 66.37°
Fractional positions:
Mg (0.164, 0.090, 0.082)
Mg (0.166, 0.837, 0.332)
Mg (0.834, 0.163, 0.668)
Mg (0.836, 0.910, 0.918)
In (0.167, 0.579, 0.587)
In (0.175, 0.312, 0.838)
In (0.498, 0.256, 0.247)
In (0.500, 0.500, 0.000)
In (0.502, 0.744, 0.753)
In (0.825, 0.688, 0.162)
In (0.833, 0.421, 0.413)
Sn (0.500, 0.000, 0.500)

=====

[7]
The following is a PBE calculation of PrDy6 after structural relaxation, from the Alexandria database.

Output
V in Å³/f.u.: 260.6
ΔE_f in eV per atom: 1.376

Cell: 8.048 8.048 8.048 Å, 90.00 90.00 90.00°
Fractional positions:
Pr (0.000, 0.000, 0.000)
Pr (0.500, 0.500, 0.500)
Dy (0.000, 0.250, 0.500)
Dy (0.000, 0.500, 0.250)
Dy (0.000, 0.500, 0.750)
Dy (0.000, 0.750, 0.500)
Dy (0.250, 0.000, 0.500)
Dy (0.250, 0.500, 0.000)
Dy (0.500, 0.000, 0.250)
Dy (0.500, 0.000, 0.750)
Dy (0.500, 0.250, 0.000)
Dy (0.500, 0.750, 0.000)
Dy (0.750, 0.000, 0.500)
Dy (0.750, 0.500, 0.000)

=====

[8]
The following is a PBE calculation of MgCd14Hg after structural relaxation, from the Alexandria database.

Output
V in Å³/f.u.: 361.1
ΔE_f in eV per atom: -0.020

Cell: 11.036 6.225 6.225 Å, 57.60 90.00 90.00°
Fractional positions:
Mg (0.000, 0.000, 0.000)
Cd (0.000, 0.501, 0.997)
Cd (0.000, 0.997, 0.501)
Cd (0.245, 0.183, 0.183)
Cd (0.249, 0.184, 0.684)
Cd (0.249, 0.684, 0.184)
Cd (0.252, 0.685, 0.685)
Cd (0.500, 0.383, 0.885)
Cd (0.500, 0.384, 0.384)
Cd (0.500, 0.884, 0.884)
Cd (0.500, 0.885, 0.383)
Cd (0.748, 0.685, 0.685)
Cd (0.751, 0.184, 0.684)
Cd (0.751, 0.684, 0.184)
Cd (0.755, 0.183, 0.183)
Hg (0.000, 0.496, 0.496)

=====

Results for total magnetization: 0.0; 0.0; 0.0; 0.0; 0.0; 0.0; 0.0; 0.0 (in μB per formula unit, following the order of the records).